## Li5Cu2Rh (PBE)

Data for a relaxed structure of Li5Cu2Rh.

Properties
electronic total energy: -3.16 eV/atom
density of states at the Fermi level: 6.875 states/eV per cell
distance to the lowest polymorph of the same formula: 2.50 kJ/mol of atoms
formation enthalpy at 0 K: -0.019 eV/atom

abc: 2.5375 8.7517 9.9834
angles: 90.00 90.00 90.00
Closest atoms and distances in Å follow each position.
Space group Immm (No. 71)
Symmetry-distinct sites (fractional):
Li  0.0000  0.0000  0.0000 x2  2 Li 2.54, 2 Cu 2.54
Li  0.0000  0.2428  0.3730 x8  1 Cu 2.43, 3 Li 2.54
Cu  0.0000  0.0000  0.2544 x4  3 Li 2.43-2.54, 2 Cu 2.54
Rh  0.0000  0.5000  0.0000 x2  2 Rh 2.54, 4 Cu 2.76, 8 Li 2.78